# SiBAu

A geometry-optimized SiBAu structure (GGA-PBE, Alexandria).

**Fermi-level density of states**: 0.73 states/eV/cell
**Symmetry**: P6_3/mmc (194)
**Electronic total energy**: -14.0 eV/f.u.

a b c (Å): 3.4523 3.4523 8.3884
angles (deg): 90.00 90.00 120.00
Closest atoms and distances in Å follow each position.
Element x y z (fractional)
1 Au 0.0000 0.0000 0.0000  6 Si 2.89, 6 B 2.89
2 Au 0.0000 0.0000 0.5000  6 B 2.89, 6 Si 2.89
3 Si 0.3333 0.6667 0.7500  3 B 1.99
4 Si 0.6667 0.3333 0.2500  3 B 1.99
5 B 0.6667 0.3333 0.7500  3 Si 1.99
6 B 0.3333 0.6667 0.2500  3 Si 1.99

---

# Pm2Ho6Tm5

A geometry-optimized Pm2Ho6Tm5 structure (GGA-PBE, Alexandria).

**Fermi-level density of states**: 33.39 states/eV/cell
**Energy of formation**: 0.10 eV per atom
**Symmetry**: Pbam (55)

a b c (Å): 3.5581 11.6026 19.9976
angles (deg): 90.00 90.00 90.00
Closest atoms and distances in Å follow each position.
Element x y z (fractional)
1 Tm 0.5000 0.5000 0.0000  6 Ho 3.27-3.35, 4 Tm 3.56-3.64
2 Tm 0.5000 0.1989 0.9492  7 Ho 3.52-3.85, 3 Tm 3.56-3.64, 2 Pm 3.75
3 Tm 0.5000 0.9051 0.7766  5 Ho 3.28-3.42, 4 Pm 3.50-3.53, 2 Tm 3.56
4 Tm 0.5000 0.6989 0.5508  7 Ho 3.52-3.85, 3 Tm 3.56-3.64, 2 Pm 3.75
5 Tm 0.5000 0.3011 0.4492  7 Ho 3.52-3.85, 3 Tm 3.56-3.64, 2 Pm 3.75
6 Tm 0.5000 0.4051 0.7234  5 Ho 3.28-3.42, 4 Pm 3.50-3.53, 2 Tm 3.56
7 Tm 0.5000 0.0000 0.5000  6 Ho 3.27-3.35, 4 Tm 3.56-3.64
8 Tm 0.5000 0.5949 0.2766  5 Ho 3.28-3.42, 4 Pm 3.50-3.53, 2 Tm 3.56
9 Tm 0.5000 0.0949 0.2234  5 Ho 3.28-3.42, 4 Pm 3.50-3.53, 2 Tm 3.56
10 Tm 0.5000 0.8011 0.0508  7 Ho 3.52-3.85, 3 Tm 3.56-3.64, 2 Pm 3.75
11 Ho 0.0000 0.0586 0.0788  6 Tm 3.42-3.54, 5 Ho 3.43-3.69, 1 Pm 3.75
12 Ho 0.0000 0.9414 0.9212  6 Tm 3.42-3.54, 5 Ho 3.43-3.69, 1 Pm 3.75
13 Ho 0.0000 0.4180 0.8666  6 Tm 3.35-3.52, 1 Pm 3.36, 4 Ho 3.48-3.56
14 Ho 0.5000 0.6758 0.8723  2 Tm 3.27-3.28, 4 Ho 3.48-3.56, 2 Pm 3.63
15 Ho 0.0000 0.5820 0.1334  6 Tm 3.35-3.52, 1 Pm 3.36, 4 Ho 3.48-3.56
16 Ho 0.0000 0.0820 0.3666  6 Tm 3.35-3.52, 1 Pm 3.36, 4 Ho 3.48-3.56
17 Ho 0.5000 0.8242 0.3723  2 Tm 3.27-3.28, 4 Ho 3.48-3.56, 2 Pm 3.63
18 Ho 0.0000 0.9180 0.6334  6 Tm 3.35-3.52, 1 Pm 3.36, 4 Ho 3.48-3.56
19 Ho 0.0000 0.5586 0.4212  6 Tm 3.42-3.54, 5 Ho 3.43-3.69, 1 Pm 3.75
20 Ho 0.5000 0.3242 0.1277  2 Tm 3.27-3.28, 4 Ho 3.48-3.56, 2 Pm 3.63
21 Ho 0.0000 0.4414 0.5788  6 Tm 3.42-3.54, 5 Ho 3.43-3.69, 1 Pm 3.75
22 Ho 0.5000 0.1758 0.6277  2 Tm 3.27-3.28, 4 Ho 3.48-3.56, 2 Pm 3.63
23 Pm 0.0000 0.1646 0.7855  4 Ho 3.36-3.75, 6 Tm 3.50-3.75, 2 Pm 3.56
24 Pm 0.0000 0.3354 0.2855  4 Ho 3.36-3.75, 6 Tm 3.50-3.75, 2 Pm 3.56
25 Pm 0.0000 0.6646 0.7145  4 Ho 3.36-3.75, 6 Tm 3.50-3.75, 2 Pm 3.56
26 Pm 0.0000 0.8354 0.2145  4 Ho 3.36-3.75, 6 Tm 3.50-3.75, 2 Pm 3.56

---

# CaSn2Bi2

A geometry-optimized CaSn2Bi2 structure (GGA-PBE, Alexandria).

**Fermi-level density of states**: 3.21 states/eV/cell
**Energy of formation**: -0.20 eV per atom
**Symmetry**: I4/mmm (139)

a b c (Å): 4.4097 4.4097 8.9592
angles (deg): 75.75 75.75 90.00
Closest atoms and distances in Å follow each position.
Element x y z (fractional)
1 Bi 0.4070 0.4070 0.1859  1 Bi 3.12, 4 Sn 3.44, 4 Ca 3.49
2 Bi 0.5930 0.5930 0.8141  1 Bi 3.12, 4 Sn 3.44, 4 Ca 3.49
3 Ca 0.0000 0.0000 0.0000  8 Bi 3.49
4 Sn 0.2500 0.7500 0.5000  4 Sn 3.12, 4 Bi 3.44
5 Sn 0.7500 0.2500 0.5000  4 Sn 3.12, 4 Bi 3.44

---

# CsY3V

A geometry-optimized CsY3V structure (GGA-PBE, Alexandria).

**Fermi-level density of states**: 5.78 states/eV/cell
**Energy of formation**: 0.65 eV per atom
**Symmetry**: Pm-3m (221)
**Offset from the most stable computed form**: 0.0 meV/atom

a b c (Å): 5.6877 5.6877 5.6877
angles (deg): 90.00 90.00 90.00
Closest atoms and distances in Å follow each position.
Element x y z (fractional)
1 V 0.0000 0.0000 0.0000  6 Y 2.84
2 Y 0.0000 0.0000 0.5000  2 V 2.84
3 Y 0.5000 0.0000 0.0000  2 V 2.84
4 Y 0.0000 0.5000 0.0000  2 V 2.84
5 Cs 0.5000 0.5000 0.5000  12 Y 4.02

---

no.,spin magnetization (μB per formula unit)
1,0.0
2,0.0
3,0.0
4,2.6